Entry 1:
First-principles (PBE) data for a geometry-optimized ScInFeW structure, as listed in OQMD.

Cell and atoms, written as POSCAR:
```
ScInFeW
1.0
0.0000 3.2278 3.2278
3.2278 0.0000 3.2278
3.2278 3.2278 0.0000
W Fe Sc In
1 1 1 1
direct
0.5000 0.5000 0.5000 W
0.7500 0.7500 0.7500 Fe
0.2500 0.2500 0.2500 Sc
0.0000 0.0000 0.0000 In
```

---

Entry 2:
First-principles (PBE) data for a geometry-optimized In2Fe2Se5 structure, as listed in OQMD.

Cell and atoms, written as POSCAR:
```
In2Fe2Se5
1.0
4.0063 -0.0077 0.0018
-2.0101 3.4570 -0.0028
0.0162 -0.0154 33.5492
In Se Fe
4 10 4
direct
0.9991 0.0010 0.9125 In
0.0000 0.0005 0.4114 In
0.9970 0.0010 0.5890 In
0.9979 0.9959 0.0870 In
0.6674 0.3338 0.7400 Se
0.0014 0.9986 0.6659 Se
0.0013 0.0007 0.1652 Se
0.0004 0.0013 0.8345 Se
0.6642 0.3327 0.5502 Se
0.9992 0.9993 0.3345 Se
0.6657 0.3330 0.9514 Se
0.3342 0.6675 0.2605 Se
0.3313 0.6639 0.0480 Se
0.3328 0.6684 0.4503 Se
0.6679 0.3328 0.8100 Fe
0.3341 0.6688 0.1905 Fe
0.6684 0.3377 0.2960 Fe
0.3376 0.6630 0.7032 Fe
```

---

Entry 3:
First-principles (PBE) data for a geometry-optimized In2FeSe4 structure, as listed in OQMD.

Cell and atoms, written as POSCAR:
```
In2FeSe4
1.0
-12.5605 -2.4636 4.7409
-11.3399 -6.2811 4.2736
-10.4530 -4.2800 7.6634
Se In Fe
4 2 1
direct
0.1277 0.1277 0.1277 Se
0.3017 0.3017 0.3017 Se
0.6983 0.6983 0.6983 Se
0.8723 0.8723 0.8723 Se
0.7625 0.7625 0.7625 In
0.2375 0.2375 0.2375 In
0.0000 0.0000 0.0000 Fe
```

---

Which total moment belongs to each record? In order, 1.94; 6.78; 4.01 μB per formula unit.
Which final energy belongs to each record? In order, -28.87; -83.68; -30.24 eV/cell.